Crystalline K2NaTl12In3 at its relaxed geometry. Source: the Alexandria database, functional PBE-GGA.

Unit cell a=8.435 b=8.435 c=8.435 alpha=84.57 beta=84.57 gamma=84.57
Atoms (fractional coordinates):
K1 0.219 0.219 0.219
K2 0.781 0.781 0.781
Na1 0.500 0.500 0.500
Tl1 0.092 0.092 0.627
Tl2 0.092 0.627 0.092
Tl3 0.203 0.695 0.695
Tl4 0.305 0.305 0.797
Tl5 0.305 0.797 0.305
Tl6 0.373 0.908 0.908
Tl7 0.627 0.092 0.092
Tl8 0.695 0.203 0.695
Tl9 0.695 0.695 0.203
Tl10 0.797 0.305 0.305
Tl11 0.908 0.373 0.908
Tl12 0.908 0.908 0.373
In1 0.000 0.500 0.500
In2 0.500 0.000 0.500
In3 0.500 0.500 0.000

As for the energy of formation from the pure elements: 14 meV per atom.

***

Crystalline Sc3AlN at its relaxed geometry. Source: the Alexandria database, functional PBE-GGA.

Unit cell a=5.666 b=5.666 c=7.967 alpha=111.33 beta=111.33 gamma=47.75
Atoms (fractional coordinates):
Sc1 0.103 0.103 0.200
Sc2 0.143 0.143 0.661
Sc3 0.363 0.363 0.076
Sc4 0.637 0.637 0.924
Sc5 0.857 0.857 0.339
Sc6 0.897 0.897 0.800
Al1 0.394 0.394 0.559
Al2 0.606 0.606 0.441
N1 0.128 0.128 0.931
N2 0.872 0.872 0.069

The formation energy (no corrections) is -920 meV/atom.

***

Crystalline Li2TiO2F6 at its relaxed geometry. Source: the Alexandria database, functional PBE-GGA.

Unit cell a=5.555 b=5.555 c=4.656 alpha=92.56 beta=92.56 gamma=78.60
Atoms (fractional coordinates):
Li1 0.000 0.500 0.000
Li2 0.500 0.000 0.000
Ti1 0.000 0.000 0.500
O1 0.358 0.358 0.171
O2 0.642 0.642 0.829
F1 0.092 0.712 0.710
F2 0.176 0.176 0.776
F3 0.288 0.908 0.290
F4 0.712 0.092 0.710
F5 0.824 0.824 0.224
F6 0.908 0.288 0.290

The formation energy (no corrections) is -2088 meV/atom.